# 1
Below is a relaxed K2Hg2I7 crystal, with properties calculated at the GGA-PBE level.

Lattice parameters (Å, degrees): 7.037 8.831 8.831 93.33 94.40 94.40
Sites, in units of the cell vectors:
K1 0.000 0.261 0.739
K2 0.000 0.739 0.261
I1 0.745 0.548 0.930
I2 0.255 0.452 0.070
I3 0.500 0.000 0.000
I4 0.255 0.070 0.452
I5 0.745 0.930 0.548
I6 0.185 0.640 0.640
I7 0.815 0.360 0.360
Hg1 0.448 0.242 0.242
Hg2 0.552 0.758 0.758

Properties
Its total DFT energy (no corrections) is -1.8512 eV per atom. For the volume, the calculation gives 544.3 Å³/f.u. The calculation puts the density of states at the Fermi level at 8.36 states/eV/cell. As for the energy relative to the elements, uncorrected: -0.61 eV per atom.


# 2
Below is a relaxed K3Hg2I8 crystal, with properties calculated at the GGA-PBE level.

Lattice parameters (Å, degrees): 8.394 8.394 11.306 68.21 68.21 60.00
Sites, in units of the cell vectors:
K1 0.000 0.000 0.000
K2 0.201 0.201 0.397
K3 0.799 0.799 0.603
Hg1 0.403 0.403 0.790
Hg2 0.597 0.597 0.210
I1 0.747 0.199 0.307
I2 0.253 0.253 0.693
I3 0.199 0.747 0.307
I4 0.253 0.801 0.693
I5 0.801 0.253 0.693
I6 0.312 0.312 0.063
I7 0.747 0.747 0.307
I8 0.688 0.688 0.937

Properties
Its total DFT energy (no corrections) is -1.9763 eV per atom. For the volume, the calculation gives 623.2 Å³/f.u. The calculation puts the density of states at the Fermi level at 12.31 states/eV/cell. As for the energy relative to the elements, uncorrected: -0.72 eV per atom.


# 3
Below is a relaxed KLi2HgI6 crystal, with properties calculated at the GGA-PBE level.

Lattice parameters (Å, degrees): 9.055 11.104 11.104 92.27 71.04 71.04
Site moments in Bohr magnetons follow the coordinates.
Sites, in units of the cell vectors:
Li1 0.089 0.418 0.245  0.00
Li2 0.589 0.245 0.418  0.00
Li3 0.911 0.582 0.755  0.00
Li4 0.411 0.755 0.582  0.00
I1 0.669 0.594 0.644  0.30
I2 0.331 0.406 0.356  0.30
I3 0.567 0.137 0.641  0.01
I4 0.193 0.931 0.805  0.03
I5 0.693 0.805 0.931  0.03
I6 0.169 0.644 0.594  0.30
I7 0.933 0.359 0.863  0.01
I8 0.807 0.069 0.195  0.03
I9 0.307 0.195 0.069  0.03
I10 0.433 0.863 0.359  0.01
I11 0.831 0.356 0.406  0.30
I12 0.067 0.641 0.137  0.01
Hg1 0.750 0.824 0.176  0.01
Hg2 0.250 0.176 0.824  0.01
K1 0.250 0.887 0.113  0.00
K2 0.750 0.113 0.887  0.00

Properties
Its total DFT energy (no corrections) is -2.2509 eV per atom. For the volume, the calculation gives 492.6 Å³/f.u. The calculation puts the density of states at the Fermi level at 0.38 states/eV/cell. As for the energy relative to the elements, uncorrected: -0.80 eV per atom.


# 4
Below is a relaxed KLiHgI2 crystal, with properties calculated at the GGA-PBE level.

Lattice parameters (Å, degrees): 5.840 5.840 5.357 90.00 90.00 90.00
Sites, in units of the cell vectors:
Li1 0.000 0.000 0.000
I1 0.000 0.500 0.000
I2 0.500 0.000 0.000
K1 0.500 0.500 0.500
Hg1 0.000 0.000 0.500

Properties
Its total DFT energy (no corrections) is -2.2309 eV per atom. For the volume, the calculation gives 182.7 Å³/f.u. The calculation puts the density of states at the Fermi level at 0.00 states/eV/cell. As for the energy relative to the elements, uncorrected: -0.95 eV per atom.


# 5
Below is a relaxed KLiHg2I crystal, with properties calculated at the GGA-PBE level.

Lattice parameters (Å, degrees): 5.354 5.354 5.838 90.00 90.00 90.00
Sites, in units of the cell vectors:
Hg1 0.500 0.000 0.000
Hg2 0.000 0.500 0.000
K1 0.500 0.500 0.500
Li1 0.000 0.000 0.000
I1 0.000 0.000 0.500

Properties
Its total DFT energy (no corrections) is -1.5600 eV per atom. For the volume, the calculation gives 167.4 Å³/f.u. The calculation puts the density of states at the Fermi level at 2.47 states/eV/cell. For the polymorph energy (0 for the lowest one), the calculation gives 0.0 meV/atom. As for the energy relative to the elements, uncorrected: -0.53 eV per atom.


# 6
Below is a relaxed KLiHg2I crystal, with properties calculated at the GGA-PBE level.

Lattice parameters (Å, degrees): 6.398 6.382 6.398 90.00 90.00 90.00
Sites, in units of the cell vectors:
I1 0.000 0.500 0.000
Hg1 0.000 0.000 0.500
Hg2 0.500 0.000 0.000
Li1 0.500 0.500 0.500
K1 0.000 0.000 0.000

Properties
Its total DFT energy (no corrections) is -1.1810 eV per atom. For the volume, the calculation gives 261.2 Å³/f.u. The calculation puts the density of states at the Fermi level at 2.68 states/eV/cell. For the polymorph energy (0 for the lowest one), the calculation gives 379.1 meV/atom. As for the energy relative to the elements, uncorrected: -0.15 eV per atom.


# 7
Below is a relaxed K2Mn2HgI6 crystal, with properties calculated at the GGA-PBE level.

Lattice parameters (Å, degrees): 9.277 8.624 8.703 118.12 90.38 61.01
Site moments in Bohr magnetons follow the coordinates.
Sites, in units of the cell vectors:
I1 0.180 0.927 0.662  0.02
I2 0.112 0.543 0.785  0.02
I3 0.336 0.863 0.093  0.02
I4 0.820 0.073 0.338  0.02
I5 0.888 0.457 0.215  0.02
I6 0.664 0.137 0.907  0.02
K1 0.777 0.437 0.805  0.00
K2 0.223 0.563 0.195  0.00
Mn1 0.111 0.880 0.915  1.71
Mn2 0.889 0.120 0.085  1.71
Hg1 0.500 0.000 0.500  -0.01

Properties
Its total DFT energy (no corrections) is -3.2977 eV per atom. For the volume, the calculation gives 514.4 Å³/f.u. As for the energy relative to the elements, uncorrected: -0.56 eV per atom.


# 8
Below is a relaxed KHgMoI6 crystal, with properties calculated at the GGA-PBE level.

Lattice parameters (Å, degrees): 9.096 7.651 7.657 60.07 65.21 65.04
Site moments in Bohr magnetons follow the coordinates.
Sites, in units of the cell vectors:
I1 0.493 0.236 0.708  0.01
I2 0.082 0.112 0.826  0.01
I3 0.081 0.716 0.535  0.01
I4 0.493 0.596 0.119  0.01
I5 0.493 0.007 0.347  0.01
I6 0.081 0.425 0.223  0.01
Mo1 0.287 0.349 0.460  2.35
Hg1 0.256 0.026 0.137  0.04
K1 0.734 0.533 0.645  0.00

Properties
Its total DFT energy (no corrections) is -2.8577 eV per atom. For the volume, the calculation gives 403.6 Å³/f.u. As for the energy relative to the elements, uncorrected: -0.47 eV per atom.


# 9
Below is a relaxed KHgI2N crystal, with properties calculated at the GGA-PBE level.

Lattice parameters (Å, degrees): 6.349 6.349 4.320 90.00 90.00 90.00
Site moments in Bohr magnetons follow the coordinates.
Sites, in units of the cell vectors:
Hg1 0.000 0.000 0.000  0.05
K1 0.500 0.500 0.500  0.00
N1 0.000 0.000 0.500  1.18
I1 0.000 0.500 0.000  0.08
I2 0.500 0.000 0.000  0.08

Properties
Its total DFT energy (no corrections) is -2.3921 eV per atom. For the volume, the calculation gives 174.2 Å³/f.u. The calculation puts the density of states at the Fermi level at 1.32 states/eV/cell. For the polymorph energy (0 for the lowest one), the calculation gives 0.0 meV/atom. As for the energy relative to the elements, uncorrected: 0.17 eV per atom.


# 10
Below is a relaxed KHgI2N crystal, with properties calculated at the GGA-PBE level.

Lattice parameters (Å, degrees): 6.690 6.690 5.663 90.00 90.00 90.00
Site moments in Bohr magnetons follow the coordinates.
Sites, in units of the cell vectors:
I1 0.500 0.000 0.000  0.28
I2 0.000 0.500 0.000  0.28
K1 0.000 0.000 0.000  0.01
Hg1 0.500 0.500 0.500  0.13
N1 0.000 0.000 0.500  1.89

Properties
Its total DFT energy (no corrections) is -1.8537 eV per atom. For the volume, the calculation gives 253.5 Å³/f.u. The calculation puts the density of states at the Fermi level at 6.53 states/eV/cell. For the polymorph energy (0 for the lowest one), the calculation gives 538.4 meV/atom. As for the energy relative to the elements, uncorrected: 0.71 eV per atom.